# K3SmCu2Cl9

An optimized crystal structure of K3SmCu2Cl9 (GGA-PBE, Alexandria).

abc: 7.1783 7.1783 9.0079
angles: 90.00 90.00 120.00
Closest atoms and distances in Å follow each position.
Space group P-3m1 (No. 164)
Asymmetric unit:
K  0.0000  0.0000  0.0000 x1  12 Cl 3.59-3.61
K  0.3333  0.6667  0.7111 x2  9 Cl 3.33-3.60
Sm  0.0000  0.0000  0.5000 x1  6 Cl 2.68
Cu  0.3333  0.6667  0.1420 x2  6 Cl 2.44-2.57
Cl  0.0000  0.5000  0.0000 x3  2 Cu 2.44
Cl  0.1725  0.3450  0.3218 x6  1 Cu 2.57, 1 Sm 2.68

## Properties
DFT total energy, eV per atom: -3.7157
ΔE_f (raw), eV/atom: -1.53

***

# KCu4Sn3Cl12

An optimized crystal structure of KCu4Sn3Cl12 (GGA-PBE, Alexandria).

abc: 14.3109 14.3109 10.4902
angles: 90.00 90.00 120.00
Closest atoms and distances in Å follow each position.
Space group R32 (No. 155, hexagonal axes)
Asymmetric unit:
K  0.0000  0.0000  0.0000 x3  6 Cl 3.34
Cu  0.0000  0.0000  0.5000 x3  3 Cl 2.21
Cu  0.0000  0.4336  0.5000 x9  3 Cl 2.20-2.29
Sn  0.0000  0.5545  0.0000 x9  6 Cl 2.81-2.90
Cl  0.0000  0.5933  0.5000 x9  1 Cu 2.29
Cl  0.0000  0.8457  0.5000 x9  1 Cu 2.21
Cl  0.0353  0.2032  0.1890 x18  1 Cu 2.20

## Properties
DFT total energy, eV per atom: -3.4263
ΔE_f (raw), eV/atom: -0.84

***

# K2Cu2SnCl7

An optimized crystal structure of K2Cu2SnCl7 (GGA-PBE, Alexandria).

abc: 6.8890 6.8892 12.9321
angles: 90.00 105.37 90.00
Closest atoms and distances in Å follow each position.
Space group C2/m (No. 12)
Asymmetric unit:
K  0.1794  0.0000  0.3615 x4  9 Cl 3.14-3.46
Cu  0.0962  0.5000  0.1948 x4  6 Cl 2.39-2.46
Sn  0.0000  0.0000  0.0000 x2  12 Cl 3.24-3.44
Cl  0.0000  0.5000  0.0000 x2  2 Cu 2.43
Cl  0.1654  0.2501  0.8290 x8  2 Cu 2.45-2.46
Cl  0.1922  0.5000  0.3868 x4  1 Cu 2.39

## Properties
DFT total energy, eV per atom: -3.3150
ΔE_f (raw), eV/atom: -1.04